A relaxed structure of Rb2GeP2. Source: Alexandria via LeMat-Bulk, functional PBE-GGA.

Crystal system   tetragonal
M_tot   0.00 μB/f.u.
D(E_F)   0.585 states/eV per atom
Formation energy   -87 meV per atom
DFT total energy   -3.56 eV/atom

Structure (extended XYZ):
```
10
Lattice="7.0729 0.0000 0.0000 0.0000 7.0729 0.0000 0.0000 0.0000 5.5292" Properties=species:S:1:pos:R:3 pbc="T T T"
Rb 1.3241 2.2124 0.0000
Rb 2.2124 5.7489 0.0000
Rb 4.8605 1.3241 0.0000
Rb 5.7489 4.8605 0.0000
Ge 0.0000 0.0000 2.7646
Ge 3.5365 3.5365 2.7646
P 0.7626 4.2991 2.7646
P 2.7738 0.7626 2.7646
P 4.2991 6.3103 2.7646
P 6.3103 2.7738 2.7646
```